[1]
{
  "formula": "ZnPH5C2N4O3",
  "functional": "GGA-PBEsol",
  "state": "relaxed",
  "polymorph_energy_ev_per_atom": 0.000,
  "lattice_angstrom": [[8.4237, 0.0000, 0.0000], [0.0000, 9.0829, 0.0563], [0.0000, -2.3242, 9.5056]],
  "species": ["Zn", "Zn", "Zn", "Zn", "P", "P", "P", "P", "H", "H", "H", "H", "H", "H", "H", "H", "H", "H", "H", "H", "H", "H", "H", "H", "H", "H", "H", "H", "C", "C", "C", "C", "C", "C", "C", "C", "N", "N", "N", "N", "N", "N", "N", "N", "N", "N", "N", "N", "N", "N", "N", "N", "O", "O", "O", "O", "O", "O", "O", "O", "O", "O", "O", "O"],
  "fractional_positions": [[0.3889, 0.4544, 0.6797], [0.1111, 0.9544, 0.6797], [0.8889, 0.0456, 0.3203], [0.6111, 0.5456, 0.3203], [0.1585, 0.2092, 0.5166], [0.6585, 0.2908, 0.4834], [0.3415, 0.7092, 0.5166], [0.8415, 0.7908, 0.4834], [0.8275, 0.3019, 0.8958], [0.9723, 0.2860, 0.7669], [0.6725, 0.8019, 0.8958], [0.5740, 0.1595, 0.7191], [0.4676, 0.9878, 0.6700], [0.5277, 0.7860, 0.7669], [0.9260, 0.6595, 0.7191], [0.0324, 0.4878, 0.6700], [0.3038, 0.1308, 0.4858], [0.8038, 0.3692, 0.5142], [0.1962, 0.6308, 0.4858], [0.6962, 0.8692, 0.5142], [0.9676, 0.5122, 0.3300], [0.0740, 0.3405, 0.2809], [0.4723, 0.2140, 0.2331], [0.5324, 0.0122, 0.3300], [0.4260, 0.8405, 0.2809], [0.3275, 0.1981, 0.1042], [0.0277, 0.7140, 0.2331], [0.1725, 0.6981, 0.1042], [0.2916, 0.4463, 0.9773], [0.6273, 0.9979, 0.8303], [0.2084, 0.9463, 0.9773], [0.8727, 0.4979, 0.8303], [0.1273, 0.5021, 0.1697], [0.7916, 0.0537, 0.0227], [0.3727, 0.0021, 0.1697], [0.7084, 0.5537, 0.0227], [0.7331, 0.0892, 0.9142], [0.7669, 0.5892, 0.9142], [0.3520, 0.4687, 0.8750], [0.9029, 0.3568, 0.8418], [0.5505, 0.0534, 0.7348], [0.1480, 0.9687, 0.8750], [0.5971, 0.8568, 0.8418], [0.9495, 0.5534, 0.7348], [0.0505, 0.4466, 0.2652], [0.4029, 0.1432, 0.1582], [0.8520, 0.0313, 0.1250], [0.4495, 0.9466, 0.2652], [0.0971, 0.6432, 0.1582], [0.6480, 0.5313, 0.1250], [0.2331, 0.4108, 0.0858], [0.2669, 0.9108, 0.0858], [0.0723, 0.1458, 0.6297], [0.5638, 0.3147, 0.6210], [0.1957, 0.3783, 0.5725], [0.4277, 0.6458, 0.6297], [0.9362, 0.8147, 0.6210], [0.6957, 0.1217, 0.4275], [0.3043, 0.8783, 0.5725], [0.0638, 0.1853, 0.3790], [0.5723, 0.3542, 0.3703], [0.8043, 0.6217, 0.4275], [0.4362, 0.6853, 0.3790], [0.9277, 0.8542, 0.3703]]
}


[2]
{
  "formula": "BSeIO2",
  "functional": "GGA-PBEsol",
  "state": "relaxed",
  "formation_energy_uncorrected_ev_per_atom": 0.539,
  "lattice_angstrom": [[3.5827, 0.0000, 0.0000], [0.0000, 3.5827, 0.0000], [0.0000, 0.0000, 5.8545]],
  "species": ["I", "B", "O", "O", "Se"],
  "fractional_positions": [[0.0000, 0.0000, 0.5000], [0.0000, 0.0000, 0.0000], [0.0000, 0.5000, 0.0000], [0.5000, 0.0000, 0.0000], [0.5000, 0.5000, 0.5000]]
}


[3]
{
  "formula": "RbTcPb3",
  "functional": "GGA-PBEsol",
  "state": "relaxed",
  "ef_mev_per_atom": 306.9,
  "lattice_angstrom": [[-3.2146, -4.2806, 0.0127], [4.0772, -3.0570, 1.6397], [-1.3039, 0.9943, 5.0959]],
  "species": ["Pb", "Pb", "Pb", "Tc", "Rb"],
  "fractional_positions": [[0.0000, 0.5000, 0.0000], [0.0000, 0.0000, 0.5000], [0.5000, 0.0000, 0.0000], [0.0000, 0.0000, 0.0000], [0.5000, 0.5000, 0.5000]]
}


[4]
{
  "formula": "Ta2MoW",
  "functional": "GGA-PBEsol",
  "state": "relaxed",
  "ef_mev_per_atom": -141.5,
  "lattice_angstrom": [[-2.1627, -1.3385, 3.7425], [-3.1644, -3.2251, -0.2466], [0.8079, -4.0998, 1.7361]],
  "species": ["Mo", "W", "Ta", "Ta"],
  "fractional_positions": [[0.5000, 0.5000, 0.5000], [0.0000, 0.0000, 0.0000], [0.2500, 0.2500, 0.2500], [0.7500, 0.7500, 0.7500]]
}


[5]
{
  "formula": "LiTl",
  "functional": "GGA-PBEsol",
  "state": "relaxed",
  "ef_mev_per_atom": -184.5,
  "lattice_angstrom": [[3.3097, 0.0000, 0.0000], [-1.6548, 2.8663, 0.0000], [0.0000, 0.0000, 4.5532]],
  "species": ["Tl", "Li"],
  "fractional_positions": [[0.3333, 0.6667, 0.5000], [0.0000, 0.0000, 0.0000]]
}


[6]
{
  "formula": "AgHg3",
  "functional": "GGA-PBEsol",
  "state": "relaxed",
  "ef_mev_per_atom": 33.3,
  "lattice_angstrom": [[-0.9794, 1.6555, -2.1975], [2.3732, -2.8933, -3.2374], [-5.6151, -2.9008, 2.2577]],
  "species": ["Hg", "Hg", "Hg", "Ag"],
  "fractional_positions": [[0.7079, 0.1159, 0.4158], [0.5000, 0.4244, 0.0000], [0.2921, 0.7001, 0.5842], [0.0000, 0.9262, 0.0000]]
}


Number 1: V 728.4 Å³ per cell, energy -6.539 eV per atom. Number 2: V 75.1 Å³ per cell, energy -4.087 eV per atom. Number 3: V 153.4 Å³ per cell, energy -4.551 eV per atom. Number 4: V 65.5 Å³ per cell, energy -12.811 eV per atom. Number 5: V 43.2 Å³ per cell, energy -2.483 eV per atom. Number 6: V 87.6 Å³ per cell, energy -1.220 eV per atom.